BaIn4Ge2: relaxed, GGA-PBE.

```
data_BaIn4Ge2
_chemical_formula_sum 'Ba2 In8 Ge4'
_cell_length_a 4.614
_cell_length_b 9.202
_cell_length_c 9.202
_cell_angle_alpha 90.00
_cell_angle_beta 90.00
_cell_angle_gamma 90.00
_symmetry_space_group_name_H-M 'P 1'
_symmetry_Int_Tables_number 1
loop_
_symmetry_equiv_pos_as_xyz
'x,y,z'
loop_
_atom_site_label
_atom_site_fract_x
_atom_site_fract_y
_atom_site_fract_z
In1 0.000 0.336 0.082
In2 0.000 0.082 0.336
In3 0.500 0.836 0.418
In4 0.500 0.582 0.164
In5 0.000 0.918 0.664
In6 0.000 0.664 0.918
In7 0.500 0.164 0.582
In8 0.500 0.418 0.836
Ba1 0.500 0.000 0.000
Ba2 0.000 0.500 0.500
Ge1 0.000 0.216 0.784
Ge2 0.500 0.284 0.284
Ge3 0.500 0.716 0.716
Ge4 0.000 0.784 0.216
```

Results
As for the mass density: 6.31 g/cm³. For the total energy, the calculation gives -3.336 eV per atom. The value obtained for the formation energy is -1.2 eV per formula unit.

BaIn3Ge: relaxed, GGA-PBE.

```
data_BaIn3Ge
_chemical_formula_sum 'Ba1 In3 Ge1'
_cell_length_a 5.541
_cell_length_b 5.541
_cell_length_c 5.541
_cell_angle_alpha 90.00
_cell_angle_beta 90.00
_cell_angle_gamma 90.00
_symmetry_space_group_name_H-M 'P 1'
_symmetry_Int_Tables_number 1
loop_
_symmetry_equiv_pos_as_xyz
'x,y,z'
loop_
_atom_site_label
_atom_site_fract_x
_atom_site_fract_y
_atom_site_fract_z
In1 0.000 0.000 0.500
In2 0.500 0.000 0.000
In3 0.000 0.500 0.000
Ba1 0.500 0.500 0.500
Ge1 0.000 0.000 0.000
```

Results
As for the mass density: 5.41 g/cm³. For the total energy, the calculation gives -2.968 eV per atom. The value obtained for the formation energy is -0.1 eV per formula unit. As for the relative energy among the computed polymorphs: 1.449 eV per formula unit.

BaInGe4: relaxed, GGA-PBE.

```
data_BaInGe4
_chemical_formula_sum 'Ba1 In1 Ge4'
_cell_length_a 5.893
_cell_length_b 5.893
_cell_length_c 5.893
_cell_angle_alpha 60.00
_cell_angle_beta 60.00
_cell_angle_gamma 60.00
_symmetry_space_group_name_H-M 'P 1'
_symmetry_Int_Tables_number 1
loop_
_symmetry_equiv_pos_as_xyz
'x,y,z'
loop_
_atom_site_label
_atom_site_fract_x
_atom_site_fract_y
_atom_site_fract_z
Ge1 0.626 0.626 0.626
Ge2 0.626 0.123 0.626
Ge3 0.626 0.626 0.123
Ge4 0.123 0.626 0.626
In1 0.000 0.000 0.000
Ba1 0.250 0.250 0.250
```

Results
As for the mass density: 6.23 g/cm³. For the total energy, the calculation gives -3.966 eV per atom. The value obtained for the formation energy is -0.7 eV per formula unit. As for the relative energy among the computed polymorphs: 0.016 eV per formula unit.